Compound: Be3TeC
Source: Alexandria via LeMat-Bulk
Functional: GGA-PBE
Structure: optimized geometry

As for the total energy: -4.3197 eV per atom. The polymorph energy (0 for the lowest one) comes out at 0.00 eV/f.u.

The space group is Pm-3m (No. 221) and the conventional cell measures 3.864, 3.864 and 3.864 Å, with angles of 90.00, 90.00 and 90.00 degrees. The inequivalent atoms are Be at (0.000, 0.000, 0.500), Te at (0.500, 0.500, 0.500) and C at (0.000, 0.000, 0.000).


Compound: BeTeC3
Source: Alexandria via LeMat-Bulk
Functional: GGA-PBE
Structure: optimized geometry

As for the total energy: -4.4518 eV per atom. The polymorph energy (0 for the lowest one) comes out at 0.00 eV/f.u.

The space group is Pm-3m (No. 221) and the conventional cell measures 3.778, 3.778 and 3.778 Å, with angles of 90.00, 90.00 and 90.00 degrees. The inequivalent atoms are Be at (0.000, 0.000, 0.000), Te at (0.500, 0.500, 0.500) and C at (0.000, 0.000, 0.500).


Compound: BeTeC3
Source: Alexandria via LeMat-Bulk
Functional: GGA-PBE
Structure: optimized geometry

As for the total energy: -3.6343 eV per atom. The polymorph energy (0 for the lowest one) comes out at 4.09 eV/f.u.

The space group is Pm-3m (No. 221) and the conventional cell measures 4.153, 4.153 and 4.153 Å, with angles of 90.00, 90.00 and 90.00 degrees. The inequivalent atoms are Be at (0.000, 0.000, 0.000), Te at (0.500, 0.500, 0.500) and C at (0.000, 0.500, 0.500).


Compound: Be2TeC
Source: Alexandria via LeMat-Bulk
Functional: GGA-PBE
Structure: optimized geometry

As for the total energy: -4.4703 eV per atom. The polymorph energy (0 for the lowest one) comes out at 0.00 eV/f.u.

The space group is I-42d (No. 122) and the conventional cell measures 4.432, 4.432 and 10.911 Å, with angles of 90.00, 90.00 and 90.00 degrees. The inequivalent atoms are Be at (0.086, 0.250, 0.125), Te at (0.000, 0.000, 0.500) and C at (0.000, 0.000, 0.000).


Compound: Be2TeC
Source: Alexandria via LeMat-Bulk
Functional: GGA-PBE
Structure: optimized geometry

As for the total energy: -3.2674 eV per atom. The polymorph energy (0 for the lowest one) comes out at 4.81 eV/f.u.

The space group is Fm-3m (No. 225) and the conventional cell measures 5.952, 5.952 and 5.952 Å, with angles of 90.00, 90.00 and 90.00 degrees. The inequivalent atoms are Be at (0.250, 0.250, 0.250), Te at (0.000, 0.000, 0.000) and C at (0.000, 0.000, 0.500).


Compound: ThBe2C2
Source: Alexandria via LeMat-Bulk
Functional: GGA-PBE
Structure: optimized geometry

As for the total energy: -6.7544 eV per atom. The value obtained for the formation energy is -0.090 eV per atom.

The space group is P6_3/mmc (No. 194) and the conventional cell measures 3.3980, 3.3980 and 11.4779 Å, with angles of 90.00, 90.00 and 120.00 degrees. The inequivalent atoms are Th at (0.0000, 0.0000, 0.2500), Be at (0.3333, 0.6667, 0.0522) and C at (0.3333, 0.6667, 0.6069).


Compound: Th2BeC2
Source: Alexandria via LeMat-Bulk
Functional: GGA-PBE
Structure: optimized geometry

As for the total energy: -7.6908 eV per atom. The value obtained for the formation energy is -0.288 eV per atom.

The space group is I4/mmm (No. 139) and the conventional cell measures 3.811, 3.811 and 11.776 Å, with angles of 90.00, 90.00 and 90.00 degrees. The inequivalent atoms are Th at (0.000, 0.000, 0.145), Be at (0.000, 0.000, 0.500) and C at (0.000, 0.000, 0.351).


Compound: Th6BeC5
Source: Alexandria via LeMat-Bulk
Functional: GGA-PBE
Structure: optimized geometry

As for the total energy: -7.9951 eV per atom. The value obtained for the formation energy is -0.131 eV per atom.

The space group is P6_3/mcm (No. 193) and the conventional cell measures 6.4878, 6.4878 and 12.9023 Å, with angles of 90.00, 90.00 and 120.00 degrees. The inequivalent atoms are Th at (0.0000, 0.3651, 0.1222), Be at (0.0000, 0.0000, 0.2500), C at (0.0000, 0.2864, 0.7500) and C at (0.3333, 0.6667, 0.0000).


Compound: ThBeC
Source: Alexandria via LeMat-Bulk
Functional: GGA-PBE
Structure: optimized geometry

As for the total energy: -6.9430 eV per atom. The polymorph energy (0 for the lowest one) comes out at 0.08 eV/f.u. The value obtained for the formation energy is -0.153 eV per atom.

The space group is P-6m2 (No. 187) and the conventional cell measures 3.3841, 3.3841 and 4.1943 Å, with angles of 90.00, 90.00 and 120.00 degrees. The inequivalent atoms are Th at (0.0000, 0.0000, 0.0000), Be at (0.3333, 0.6667, 0.5000) and C at (0.6667, 0.3333, 0.5000).


Compound: ThBeC
Source: Alexandria via LeMat-Bulk
Functional: GGA-PBE
Structure: optimized geometry

As for the total energy: -6.9681 eV per atom. The polymorph energy (0 for the lowest one) comes out at 0.00 eV/f.u. The value obtained for the formation energy is -0.178 eV per atom.

The space group is Pnma (No. 62) and the conventional cell measures 7.052, 3.831 and 7.129 Å, with angles of 90.00, 90.00 and 90.00 degrees. The inequivalent atoms are Th at (0.168, 0.250, 0.160), Be at (0.020, 0.250, 0.585) and C at (0.105, 0.250, 0.809).


Compound: ThBeC
Source: Alexandria via LeMat-Bulk
Functional: GGA-PBE
Structure: optimized geometry

As for the total energy: -6.8910 eV per atom. The polymorph energy (0 for the lowest one) comes out at 0.23 eV/f.u. The value obtained for the formation energy is -0.101 eV per atom.

The space group is Immm (No. 71) and the conventional cell measures 3.308, 7.034 and 7.515 Å, with angles of 90.00, 90.00 and 90.00 degrees. The inequivalent atoms are Th at (0.000, 0.000, 0.230), Be at (0.000, 0.332, 0.000) and C at (0.000, 0.263, 0.500).


Compound: ThU2BeC4
Source: Alexandria via LeMat-Bulk
Functional: GGA-PBE
Structure: optimized geometry

As for the total energy: -9.0238 eV per atom. The value obtained for the formation energy is -0.197 eV per atom.

The space group is Cmcm (No. 63) and the conventional cell measures 3.583, 11.255 and 11.258 Å, with angles of 90.00, 90.00 and 90.00 degrees. The inequivalent atoms are Th at (0.000, 0.106, 0.250), U at (0.000, 0.371, 0.056), Be at (0.000, 0.164, 0.750), C at (0.000, 0.000, 0.000), C at (0.000, 0.258, 0.618) and C at (0.000, 0.434, 0.250).